A PBEsol-optimized structure of Al2SiRu, computed with meta-GGA SCAN.

Cell and atoms, written as POSCAR:
```
Al2SiRu
1.0
-0.957 4.125 0.425
-2.477 1.918 -2.881
-3.959 1.170 1.038
Al Si Ru
2 1 1
Cartesian
-5.544 5.410 -1.064
0.000 0.000 0.000
-1.848 1.803 -0.355
-3.696 3.607 -0.709
```

## Properties
Volume in A^3/atom: 13.631
Energy relative to the elements, uncorrected in eV/atom: -0.18
N(E_F) in states/eV per cell: 1.79
Uncorrected energy in eV/cell: -61.06